## ZrGaIrRh (PBE)

Data for an optimized crystal structure of ZrGaIrRh.

For the uncorrected energy, the calculation gives -7.76 eV/atom. The energy of formation comes out at -3.258 eV per formula unit. For the offset from the most stable computed form, the calculation gives 0.0000 eV/atom.

The structure belongs to space group I-4m2 (No. 119); the cell edges are 4.243, 4.243 and 7.138 Å and the angles 90.00°, 90.00° and 90.00°. The asymmetric unit holds Zr at (0.000, 0.000, 0.000), Ga at (0.000, 0.000, 0.500), Ir at (0.000, 0.500, 0.250) and Rh at (0.000, 0.500, 0.750).